VASP calculation (PBE) on a geometry-optimized La2ThCd structure.

Cell lengths 12.5564, 12.5564, 12.5564 Å; angles 15.87, 15.87, 15.87 degrees
With the nearest neighbours (Å) after each atom.
Positions (direct):
La  0.0918  0.0918  0.0918  1 Th 3.41, 3 Cd 3.43, 6 La 3.47
La  0.9082  0.9082  0.9082  1 Th 3.41, 3 Cd 3.43, 6 La 3.47
Th  0.0000  0.0000  0.0000  2 La 3.41, 6 Th 3.47
Cd  0.5000  0.5000  0.5000  6 La 3.43, 6 Cd 3.47

Results
D(E_F): 6.1 states/eV/f.u.
space-group type: R-3m (166)
ΔE to the lowest computed polymorph: 309 meV per atom
ΔE_f: 0.138 eV/atom
magnetization: 0.000 μB/f.u.
crystal system: trigonal
energy: -4.41 eV/atom